Record 1
Compound: ScCdRe2
Source: Alexandria via LeMat-Bulk
Functional: meta-GGA SCAN
Structure: PBEsol geometry

Results
Formation energy from the elements in eV per atom: 0.256
Total moment in μB/cell: 0.00
Raw total energy in eV per atom: -46.46

a = 2.756 Å, b = 4.709 Å, c = 5.184 Å
α = 90.00°, β = 97.38°, γ = 90.00°
Fractional coordinates of all 4 atoms:
Sc 0.000 0.000 0.000
Cd 0.500 0.000 0.500
Re 0.293 0.500 0.771
Re 0.707 0.500 0.229

***

Record 2
Compound: SiMoPO2
Source: Alexandria via LeMat-Bulk
Functional: meta-GGA SCAN
Structure: PBEsol geometry

Results
Total moment in μB/cell: 0.00
ΔE_f (raw) in eV/atom: -0.71
Raw total energy in eV per atom: -14.26

a = 3.759 Å, b = 3.759 Å, c = 5.072 Å
α = 90.00°, β = 90.00°, γ = 90.00°
Fractional coordinates of all 5 atoms:
Si 0.000 0.000 0.000
Mo 0.500 0.500 0.500
P 0.500 0.500 0.000
O 0.000 0.500 0.500
O 0.500 0.000 0.500

***

Record 3
Compound: Mg3FeGe
Source: Alexandria via LeMat-Bulk
Functional: meta-GGA SCAN
Structure: PBEsol geometry

Results
Formation energy from the elements in eV per atom: 0.665
Total moment in μB/cell: 2.84
Raw total energy in eV per atom: -9.76

a = 4.933 Å, b = 4.933 Å, c = 4.933 Å
α = 90.00°, β = 90.00°, γ = 90.00°
Fractional coordinates of all 5 atoms:
Mg 0.000 0.000 0.500
Mg 0.000 0.500 0.000
Mg 0.500 0.000 0.000
Fe 0.500 0.500 0.500
Ge 0.000 0.000 0.000

***

Record 4
Compound: LiPd2Pt
Source: Alexandria via LeMat-Bulk
Functional: meta-GGA SCAN
Structure: PBEsol geometry

Results
Formation energy from the elements in eV per atom: -0.190
Total moment in μB/cell: 0.00
Raw total energy in eV per atom: -34.72

a = 4.320 Å, b = 4.320 Å, c = 4.320 Å
α = 60.00°, β = 60.00°, γ = 60.00°
Fractional coordinates of all 4 atoms:
Li 0.000 0.000 0.000
Pd 0.250 0.250 0.250
Pd 0.750 0.750 0.750
Pt 0.500 0.500 0.500

***

Record 5
Compound: RbBaHf2Mo
Source: Alexandria via LeMat-Bulk
Functional: meta-GGA SCAN
Structure: PBEsol geometry

Results
Formation energy from the elements in eV per atom: 2.583
Total moment in μB/cell: 3.99
Raw total energy in eV per atom: -41.52

a = 5.094 Å, b = 5.094 Å, c = 5.600 Å
α = 90.00°, β = 90.00°, γ = 90.00°
Fractional coordinates of all 5 atoms:
Rb 0.000 0.000 0.000
Ba 0.000 0.000 0.500
Hf 0.000 0.500 0.000
Hf 0.500 0.000 0.000
Mo 0.500 0.500 0.500

***

Record 6
Compound: TaZnIn2
Source: Alexandria via LeMat-Bulk
Functional: meta-GGA SCAN
Structure: PBEsol geometry

Results
Formation energy from the elements in eV per atom: 0.297
Total moment in μB/cell: 0.00
Raw total energy in eV per atom: -36.42

a = 3.639 Å, b = 3.639 Å, c = 5.751 Å
α = 90.00°, β = 90.00°, γ = 90.00°
Fractional coordinates of all 4 atoms:
Ta 0.000 0.000 0.000
Zn 0.000 0.000 0.500
In 0.500 0.500 0.250
In 0.500 0.500 0.750

***

Record 7
Compound: Re2MoP
Source: Alexandria via LeMat-Bulk
Functional: meta-GGA SCAN
Structure: PBEsol geometry

Results
Formation energy from the elements in eV per atom: 0.212
Total moment in μB/cell: 0.00
Raw total energy in eV per atom: -46.66

a = 2.959 Å, b = 4.353 Å, c = 4.376 Å
α = 90.00°, β = 90.00°, γ = 90.00°
Fractional coordinates of all 4 atoms:
Re 0.000 0.000 0.000
Re 0.500 0.000 0.500
Mo 0.000 0.500 0.500
P 0.500 0.500 0.000

***

Record 8
Compound: La4CoMo
Source: Alexandria via LeMat-Bulk
Functional: meta-GGA SCAN
Structure: PBEsol geometry

Results
Formation energy from the elements in eV per atom: 1.159
Total moment in μB/cell: 2.80
Raw total energy in eV per atom: -36.28

a = 6.058 Å, b = 6.058 Å, c = 6.058 Å
α = 60.00°, β = 60.00°, γ = 60.00°
Fractional coordinates of all 6 atoms:
La 0.125 0.125 0.125
La 0.125 0.125 0.625
La 0.125 0.625 0.125
La 0.625 0.125 0.125
Co 0.750 0.750 0.750
Mo 0.500 0.500 0.500